Here is a relaxed Sr2FeF6 crystal from Alexandria via LeMat-Bulk. Energies are from PBE+U.

a = 5.671 Å, b = 6.536 Å, c = 9.302 Å
α = 90.00°, β = 123.74°, γ = 90.00°
Positions (direct):
Sr (0.220, 0.104, 0.255)
Sr (0.220, 0.396, 0.755)
Sr (0.780, 0.604, 0.245)
Sr (0.780, 0.896, 0.745)
Fe (0.500, 0.000, 0.000)
Fe (0.500, 0.500, 0.500)
F (0.134, 0.151, 0.944)
F (0.134, 0.349, 0.444)
F (0.293, 0.708, 0.932)
F (0.293, 0.792, 0.432)
F (0.395, 0.049, 0.757)
F (0.395, 0.451, 0.257)
F (0.605, 0.549, 0.743)
F (0.605, 0.951, 0.243)
F (0.707, 0.208, 0.568)
F (0.707, 0.292, 0.068)
F (0.866, 0.651, 0.556)
F (0.866, 0.849, 0.056)

Results
M_tot (μB per atom): 0.44
E_tot (eV/cell): -101.58
Density (g/cm3): 4.0